Entry 1:
VASP calculation (PBE) on a relaxed Ac2GePt2 crystal.

- ρ (g cm⁻³) = 11.5
- polymorph energy (0 for the lowest one) (meV per atom) = 0
- ΔH_f (0 K) (kJ/mol of atoms) = -98
- symmetry = C2/m

Cell: 4.3779 6.2425 10.5702 Å, 82.42 78.05 69.47°
Fractional positions:
1 Pt 0.6400 0.8416 0.8784
2 Pt 0.0417 0.3218 0.5948
3 Pt 0.3600 0.1584 0.1216
4 Pt 0.9583 0.6782 0.4052
5 Ac 0.9071 0.2844 0.9013
6 Ac 0.3071 0.7441 0.6417
7 Ac 0.0929 0.7156 0.0987
8 Ac 0.6929 0.2559 0.3583
9 Ge 0.4210 0.8383 0.3197
10 Ge 0.5790 0.1617 0.6803



Entry 2:
VASP calculation (PBE) on a relaxed CsTl2PdCl crystal.

- ρ (g cm⁻³) = 5.2
- raw formation energy (eV/atom) = -0.01
- symmetry = P4/mmm

Cell: 5.8784 6.2906 5.8784 Å, 90.00 90.00 90.00°
Fractional positions:
1 Tl 0.0000 0.0000 0.5000
2 Tl 0.5000 0.0000 0.0000
3 Cs 0.0000 0.5000 0.0000
4 Cl 0.0000 0.0000 0.0000
5 Pd 0.5000 0.5000 0.5000



Entry 3:
VASP calculation (PBE) on a relaxed Nd12MgTl3 crystal.

- ρ (g cm⁻³) = 7.8
- ΔH_f (0 K) (kJ/mol of atoms) = -15
- symmetry = P4/mmm

Cell: 5.0065 5.0065 19.9979 Å, 90.00 90.00 90.00°
Fractional positions:
1 Nd 0.5000 0.5000 0.2492
2 Nd 0.0000 0.5000 0.8741
3 Nd 0.0000 0.5000 0.1259
4 Nd 0.5000 0.0000 0.3750
5 Nd 0.5000 0.0000 0.8741
6 Nd 0.0000 0.5000 0.3750
7 Nd 0.5000 0.5000 0.5000
8 Nd 0.5000 0.0000 0.1259
9 Nd 0.5000 0.5000 0.0000
10 Nd 0.0000 0.5000 0.6250
11 Nd 0.5000 0.5000 0.7508
12 Nd 0.5000 0.0000 0.6250
13 Mg 0.0000 0.0000 0.0000
14 Tl 0.0000 0.0000 0.7490
15 Tl 0.0000 0.0000 0.5000
16 Tl 0.0000 0.0000 0.2510



Entry 4:
VASP calculation (PBE) on a relaxed NdY3Er5 crystal.

- ρ (g cm⁻³) = 6.5
- polymorph energy (0 for the lowest one) (meV per atom) = 127
- ΔH_f (0 K) (kJ/mol of atoms) = 45
- symmetry = C2/m

Cell: 9.1094 9.1094 11.8757 Å, 56.13 56.13 56.73°
Fractional positions:
1 Y 0.0000 0.0000 0.0000
2 Y 0.7238 0.7238 0.7084
3 Y 0.7420 0.7420 0.1965
4 Y 0.0000 0.0000 0.5000
5 Y 0.2762 0.2762 0.2916
6 Y 0.2580 0.2580 0.8035
7 Er 0.3450 0.3450 0.9738
8 Er 0.3203 0.6797 0.0000
9 Er 0.7087 0.0694 0.8273
10 Er 0.0694 0.7087 0.8273
11 Er 0.6550 0.6550 0.0262
12 Er 0.4461 0.4461 0.3978
13 Er 0.5539 0.5539 0.6022
14 Er 0.9306 0.2913 0.1727
15 Er 0.2913 0.9306 0.1727
16 Er 0.6797 0.3203 0.0000
17 Nd 0.1425 0.1425 0.6431
18 Nd 0.8575 0.8575 0.3569



Entry 5:
VASP calculation (PBE) on a relaxed AcPmSi2 crystal.

- ρ (g cm⁻³) = 6.2
- raw formation energy (eV/atom) = -0.37
- polymorph energy (0 for the lowest one) (meV per atom) = 272
- symmetry = R-3m

Cell: 4.7696 4.7696 6.4639 Å, 68.35 68.35 60.00°
Fractional positions:
1 Si 0.2659 0.2659 0.2022
2 Si 0.7341 0.7341 0.7978
3 Ac 0.5000 0.5000 0.5000
4 Pm 0.0000 0.0000 0.0000



Entry 6:
VASP calculation (PBE) on a relaxed LiBeSi crystal.

- ρ (g cm⁻³) = 2.0
- raw formation energy (eV/atom) = 0.12
- polymorph energy (0 for the lowest one) (meV per atom) = 161
- symmetry = Imm2

Cell: 4.5914 4.5914 4.5914 Å, 147.64 134.26 57.14°
Fractional positions:
1 Be 0.0191 0.0191 0.0000
2 Si 0.6479 0.6479 0.0000
3 Li 0.3330 0.3330 0.0000



Entry 7:
VASP calculation (PBE) on a relaxed BeCrCuOs crystal.

- ρ (g cm⁻³) = 11.1
- ΔH_f (0 K) (kJ/mol of atoms) = 7
- symmetry = F-43m

Cell: 4.0541 4.0541 4.0541 Å, 60.00 60.00 60.00°
Each line ends with the local moment (μB).
Fractional positions:
1 Cr 0.5000 0.5000 0.5000  1.09
2 Os 0.7500 0.7500 0.7500  -0.23
3 Be 0.0000 0.0000 0.0000  -0.02
4 Cu 0.2500 0.2500 0.2500  0.08



Entry 8:
VASP calculation (PBE) on a relaxed KTl2Cl crystal.

- ρ (g cm⁻³) = 5.3
- raw formation energy (eV/atom) = -0.70
- polymorph energy (0 for the lowest one) (meV per atom) = 18
- symmetry = Pmmm

Cell: 4.3761 4.4514 7.8284 Å, 90.00 90.00 90.00°
Fractional positions:
1 Tl 0.5000 0.5000 0.0000
2 Tl 0.0000 0.0000 0.0000
3 Cl 0.5000 0.0000 0.5000
4 K 0.0000 0.5000 0.5000



Entry 9:
VASP calculation (PBE) on a relaxed TiSbTe3 crystal.

- ρ (g cm⁻³) = 5.1
- raw formation energy (eV/atom) = 0.84
- polymorph energy (0 for the lowest one) (meV per atom) = 753
- symmetry = Pm-3m

Cell: 5.6519 5.6519 5.6519 Å, 90.00 90.00 90.00°
Each line ends with the local moment (μB).
Fractional positions:
1 Te 0.0000 0.5000 0.0000  0.03
2 Te 0.0000 0.0000 0.5000  0.03
3 Te 0.5000 0.0000 0.0000  0.03
4 Sb 0.0000 0.0000 0.0000  0.00
5 Ti 0.5000 0.5000 0.5000  -0.16



Entry 10:
VASP calculation (PBE) on a relaxed NaIn3Ga crystal.

- ρ (g cm⁻³) = 4.5
- polymorph energy (0 for the lowest one) (meV per atom) = 220
- ΔH_f (0 K) (kJ/mol of atoms) = 15
- symmetry = Pm-3m

Cell: 5.4362 5.4362 5.4362 Å, 90.00 90.00 90.00°
Fractional positions:
1 Na 0.5000 0.5000 0.5000
2 In 0.0000 0.5000 0.0000
3 In 0.0000 0.0000 0.5000
4 In 0.5000 0.0000 0.0000
5 Ga 0.0000 0.0000 0.0000



Entry 11:
VASP calculation (PBE) on a relaxed Pm8Y4Pu crystal.

- ρ (g cm⁻³) = 6.0
- ΔH_f (0 K) (kJ/mol of atoms) = 50
- symmetry = R-3m

Cell: 7.8637 7.8637 7.8637 Å, 90.08 90.08 90.08°
Each line ends with the local moment (μB).
Fractional positions:
1 Pm 0.2441 0.7565 0.7565  0.03
2 Pm 0.7565 0.2441 0.7565  0.03
3 Pm 0.7562 0.7562 0.7562  0.03
4 Pm 0.2438 0.2438 0.2438  0.03
5 Pm 0.2435 0.7559 0.2435  0.03
6 Pm 0.7565 0.7565 0.2441  0.03
7 Pm 0.7559 0.2435 0.2435  0.03
8 Pm 0.2435 0.2435 0.7559  0.03
9 Y 0.5000 0.5000 0.0000  0.09
10 Y 0.0000 0.0000 0.0000  -0.17
11 Y 0.0000 0.5000 0.5000  0.09
12 Y 0.5000 0.0000 0.5000  0.09
13 Pu 0.5000 0.5000 0.5000  5.48



Entry 12:
VASP calculation (PBE) on a relaxed LiTl3Si crystal.

- ρ (g cm⁻³) = 8.0
- raw formation energy (eV/atom) = 0.47
- polymorph energy (0 for the lowest one) (meV per atom) = 117
- symmetry = Pm-3m

Cell: 5.1166 5.1166 5.1166 Å, 90.00 90.00 90.00°
Fractional positions:
1 Tl 0.0000 0.0000 0.5000
2 Tl 0.0000 0.5000 0.0000
3 Tl 0.5000 0.0000 0.0000
4 Li 0.0000 0.0000 0.0000
5 Si 0.5000 0.5000 0.5000